# KVF2

A geometry-optimized KVF2 structure (GGA+U, Alexandria via LeMat-Bulk).

- energy above the most stable polymorph in this dataset (kJ per mole of atoms) = 53.0

a b c (Å): 4.4422 4.4422 4.4422
angles (deg): 60.00 60.00 60.00
Element x y z (fractional)
K (0.0000, 0.0000, 0.0000)
V (0.5000, 0.5000, 0.5000)
F (0.2500, 0.2500, 0.2500)
F (0.7500, 0.7500, 0.7500)